Compound: DyYSi2Pt
Source: OQMD
Functional: PBE
Structure: optimized geometry

Values from the calculation:
magnetization: 0.65 μB per cell
volume: 20.039 Å³/atom
E: -6.641 eV per atom

Unit cell a=5.602 b=5.602 c=10.197 alpha=115.59 beta=115.59 gamma=45.11
Fractional positions:
Dy  0.007  0.007  0.326
Dy  0.993  0.993  0.674
Y  0.189  0.189  0.108
Y  0.811  0.811  0.892
Si  0.359  0.359  0.444
Si  0.484  0.484  0.113
Si  0.516  0.516  0.887
Si  0.641  0.641  0.556
Pt  0.272  0.272  0.656
Pt  0.728  0.728  0.344